[1]
First-principles (PBE-GGA) data for a relaxed CsHfAu3S4 crystal, as listed in OQMD.

It has space group P2_1/m (No. 11), with a = 6.160 Å, b = 8.008 Å, c = 10.315 Å, α = 90.00°, β = 105.23° and γ = 90.00°. Symmetry generates all atoms from Cs at (0.225, 0.250, 0.379), Hf at (0.126, 0.250, 0.794), Au at (0.280, 0.569, 0.971), Au at (0.387, 0.750, 0.227), S at (0.055, 0.250, 0.017), S at (0.184, 0.750, 0.400) and S at (0.338, 0.004, 0.755).

As for the relative energy among the computed polymorphs: 0.0 kJ per mole of atoms.


[2]
First-principles (PBE-GGA) data for a relaxed BeNbGa crystal, as listed in OQMD.

It has space group F-43m (No. 216), with a = 5.936 Å, b = 5.936 Å, c = 5.936 Å, α = 90.00°, β = 90.00° and γ = 90.00°. Symmetry generates all atoms from Be at (0.000, 0.000, 0.000), Nb at (0.250, 0.250, 0.250) and Ga at (0.000, 0.000, 0.500).

As for the relative energy among the computed polymorphs: 22.5 kJ per mole of atoms.


[3]
First-principles (PBE-GGA) data for a relaxed Lu2ScMo crystal, as listed in OQMD.

It has space group F-43m (No. 216), with a = 7.084 Å, b = 7.084 Å, c = 7.084 Å, α = 90.00°, β = 90.00° and γ = 90.00°. Symmetry generates all atoms from Lu at (0.000, 0.000, 0.000), Lu at (0.250, 0.250, 0.250), Sc at (0.000, 0.000, 0.500) and Mo at (0.250, 0.250, 0.750).

The energy of formation comes out at 0.28 eV per atom.


[4]
First-principles (PBE-GGA) data for a relaxed PrTlO3 crystal, as listed in OQMD.

It has space group Pnma (No. 62), with a = 6.149 Å, b = 8.433 Å, c = 5.774 Å, α = 90.00°, β = 90.00° and γ = 90.00°. Symmetry generates all atoms from Pr at (0.069, 0.250, 0.022), Tl at (0.000, 0.000, 0.500), O at (0.069, 0.750, 0.354) and O at (0.187, 0.573, 0.812).

The total DFT energy (no corrections) comes out at -6.354 eV per atom.


[5]
First-principles (PBE-GGA) data for a relaxed Pu2Te3S crystal, as listed in OQMD.

It has space group P-1 (No. 2), with a = 6.918 Å, b = 8.587 Å, c = 8.608 Å, α = 60.78°, β = 71.78° and γ = 89.51°. Symmetry generates all atoms from Pu at (0.008, 0.270, 0.489), Pu at (0.026, 0.751, 0.010), Te at (0.239, 0.117, 0.238), Te at (0.264, 0.610, 0.759), Te at (0.275, 0.134, 0.737) and S at (0.195, 0.617, 0.277).

The total DFT energy (no corrections) comes out at -7.918 eV per atom.


[6]
First-principles (PBE-GGA) data for a relaxed NaIr3C crystal, as listed in OQMD.

It has space group Pm-3m (No. 221), with a = 4.114 Å, b = 4.114 Å, c = 4.114 Å, α = 90.00°, β = 90.00° and γ = 90.00°. Symmetry generates all atoms from Na at (0.000, 0.000, 0.000), Ir at (0.000, 0.500, 0.500) and C at (0.500, 0.500, 0.500).

The total DFT energy (no corrections) comes out at -7.039 eV per atom.


[7]
First-principles (PBE-GGA) data for a relaxed DyCuTe2 crystal, as listed in OQMD.

It has space group P3m1 (No. 156), with a = 4.3703 Å, b = 4.3703 Å, c = 6.8886 Å, α = 90.00°, β = 90.00° and γ = 120.00°. Symmetry generates all atoms from Dy at (0.0000, 0.0000, 0.0000), Cu at (0.3333, 0.6667, 0.6315), Te at (0.3333, 0.6667, 0.2472) and Te at (0.6667, 0.3333, 0.7239).

The total DFT energy (no corrections) comes out at -4.535 eV per atom.


[8]
First-principles (PBE-GGA) data for a relaxed Pu2Mo crystal, as listed in OQMD.

It has space group Fd-3m (No. 227, origin choice 2), with a = 11.488 Å, b = 11.488 Å, c = 11.488 Å, α = 90.00°, β = 90.00° and γ = 90.00°. Symmetry generates all atoms from Pu at (0.000, 0.000, 0.000) and Mo at (0.125, 0.125, 0.125).

The energy of formation comes out at 1.62 eV per atom.


[9]
First-principles (PBE-GGA) data for a relaxed CsLuBAu crystal, as listed in OQMD.

It has space group F-43m (No. 216), with a = 7.063 Å, b = 7.063 Å, c = 7.063 Å, α = 90.00°, β = 90.00° and γ = 90.00°. Symmetry generates all atoms from Cs at (0.000, 0.000, 0.000), Lu at (0.250, 0.250, 0.750), B at (0.000, 0.000, 0.500) and Au at (0.250, 0.250, 0.250).

As for the relative energy among the computed polymorphs: 18.6 kJ per mole of atoms.


[10]
First-principles (PBE-GGA) data for a relaxed NaAcZn crystal, as listed in OQMD.

It has space group F-43m (No. 216), with a = 7.380 Å, b = 7.380 Å, c = 7.380 Å, α = 90.00°, β = 90.00° and γ = 90.00°. Symmetry generates all atoms from Na at (0.000, 0.000, 0.000), Ac at (0.000, 0.000, 0.500) and Zn at (0.250, 0.250, 0.750).

As for the relative energy among the computed polymorphs: 0.0 kJ per mole of atoms.


[11]
First-principles (PBE-GGA) data for a relaxed BeFeSiIr crystal, as listed in OQMD.

It has space group F-43m (No. 216), with a = 5.593 Å, b = 5.593 Å, c = 5.593 Å, α = 90.00°, β = 90.00° and γ = 90.00°. Symmetry generates all atoms from Be at (0.000, 0.000, 0.000), Fe at (0.250, 0.250, 0.250), Si at (0.000, 0.000, 0.500) and Ir at (0.250, 0.250, 0.750).

As for the relative energy among the computed polymorphs: 0.0 kJ per mole of atoms.


[12]
First-principles (PBE-GGA) data for a relaxed RbNp2Se6 crystal, as listed in OQMD.

It has space group Immm (No. 71), with a = 4.087 Å, b = 5.508 Å, c = 22.439 Å, α = 90.00°, β = 90.00° and γ = 90.00°. Symmetry generates all atoms from Rb at (0.000, 0.000, 0.000), Np at (0.000, 0.500, 0.184), Se at (0.000, 0.000, 0.226) and Se at (0.000, 0.242, 0.389).

The total DFT energy (no corrections) comes out at -6.319 eV per atom.


- Which formula does entry 3 have?
  Lu2ScMo


- Number 5 is which compound?
  Pu2Te3S